No. 1
A plane-wave DFT calculation with GGA-PBE was carried out for crystalline SnTe2Au at its relaxed geometry.

Values from the calculation:
**Density**: 8434 kg/m³
**Total magnetic moment**: 0.00 μB/f.u.
**E_tot**: -13.9 eV for the cell shown

a b c (Å): 7.7813 7.7813 7.7813
angles (deg): 31.23 31.23 31.23
Last column: nearest neighbours and their distance in Å.
Positions (direct):
Sn 0.0000 0.0000 0.0000  6 Te 3.17-3.19
Te 0.5732 0.5732 0.5732  3 Au 2.90, 3 Sn 3.19
Te 0.7593 0.7593 0.7593  3 Au 2.94, 3 Sn 3.17
Au 0.1681 0.1681 0.1681  6 Te 2.90-2.94

=====

No. 2
A plane-wave DFT calculation with GGA-PBE was carried out for crystalline Hf3CoPt at its relaxed geometry.

Values from the calculation:
**Density**: 13425 kg/m³
**Total magnetic moment**: 0.00 μB/f.u.
**Formation energy**: -0.450 eV per atom
**E_tot**: -181.0 eV for the cell shown

a b c (Å): 8.0944 8.0944 6.3022
angles (deg): 98.25 98.25 74.07
Last column: nearest neighbours and their distance in Å.
Positions (direct):
Hf 0.0177 0.8009 0.5667  1 Co 2.60, 2 Pt 2.77-2.88
Hf 0.0904 0.6758 0.0654  1 Co 2.48, 2 Pt 2.66-2.70
Hf 0.1991 0.9823 0.9333  1 Co 2.60, 2 Pt 2.77-2.88
Hf 0.3242 0.9096 0.4346  1 Co 2.48, 2 Pt 2.66-2.70
Hf 0.3400 0.3966 0.4439  1 Co 2.41
Hf 0.3966 0.3400 0.9439  1 Co 2.41
Hf 0.6034 0.6600 0.0561  1 Co 2.41
Hf 0.6600 0.6034 0.5561  1 Co 2.41
Hf 0.6758 0.0904 0.5654  1 Co 2.48, 2 Pt 2.66-2.70
Hf 0.8009 0.0177 0.0667  1 Co 2.60, 2 Pt 2.77-2.88
Hf 0.9096 0.3242 0.9346  1 Co 2.48, 2 Pt 2.66-2.70
Hf 0.9823 0.1991 0.4333  1 Co 2.60, 2 Pt 2.77-2.88
Co 0.3263 0.6737 0.7500  4 Hf 2.60-2.73, 1 Co 2.77, 2 Pt 2.90
Co 0.3892 0.6108 0.2500  4 Hf 2.41-2.48
Co 0.6108 0.3892 0.7500  4 Hf 2.41-2.48
Co 0.6737 0.3263 0.2500  4 Hf 2.60-2.73, 1 Co 2.77, 2 Pt 2.90
Pt 0.0849 0.4617 0.7045  6 Hf 2.66-2.88, 1 Pt 2.81, 1 Co 2.90
Pt 0.4617 0.0849 0.2045  6 Hf 2.66-2.88, 1 Pt 2.81, 1 Co 2.90
Pt 0.5383 0.9151 0.7955  6 Hf 2.66-2.88, 1 Pt 2.81, 1 Co 2.90
Pt 0.9151 0.5383 0.2955  6 Hf 2.66-2.88, 1 Pt 2.81, 1 Co 2.90

=====

No. 3
A plane-wave DFT calculation with GGA-PBE was carried out for crystalline MnSbOs at its relaxed geometry.

Values from the calculation:
**Density**: 12154 kg/m³
**Total magnetic moment**: 2.36 μB/f.u.
**E_tot**: -22.9 eV for the cell shown

a b c (Å): 3.0379 3.0379 6.2723
angles (deg): 90.00 90.00 120.00
Last column: nearest neighbours and their distance in Å.
Positions (direct):
Mn 0.0000 0.0000 0.0000  3 Os 2.51
Sb 0.3333 0.6667 0.6484  3 Mn 2.82, 3 Os 2.87, 6 Sb 3.04
Os 0.6667 0.3333 0.2860  3 Mn 2.51

=====

No. 4
A plane-wave DFT calculation with GGA-PBE was carried out for crystalline Nd2SmTe at its relaxed geometry.

Values from the calculation:
**Density**: 7960 kg/m³
**Total magnetic moment**: 0.00 μB/f.u.
**E_tot**: -19.5 eV for the cell shown

a b c (Å): 4.9219 4.9219 4.8779
angles (deg): 90.00 90.00 90.00
Last column: nearest neighbours and their distance in Å.
Positions (direct):
Nd 0.0000 0.5000 0.0000  4 Sm 3.46, 4 Te 3.46, 4 Nd 3.48
Nd 0.5000 0.0000 0.0000  4 Sm 3.46, 4 Te 3.46, 4 Nd 3.48
Sm 0.0000 0.0000 0.5000  8 Nd 3.46, 4 Te 3.48
Te 0.5000 0.5000 0.5000  8 Nd 3.46, 4 Sm 3.48

=====

No. 5
A plane-wave DFT calculation with GGA-PBE was carried out for crystalline NdSm5DyY2 at its relaxed geometry.

Values from the calculation:
**Density**: 6665 kg/m³
**Total magnetic moment**: 0.00 μB/f.u.
**Formation energy**: 0.144 eV per atom
**E_tot**: -89.2 eV for the cell shown

a b c (Å): 10.5206 10.5206 10.7179
angles (deg): 90.00 90.00 148.71
Last column: nearest neighbours and their distance in Å.
Positions (direct):
Nd 0.2035 0.7965 0.5000  2 Y 3.49-3.79, 8 Sm 3.52-3.89, 2 Dy 3.72
Nd 0.7965 0.2035 0.0000  2 Y 3.49-3.79, 8 Sm 3.52-3.89, 2 Dy 3.72
Sm 0.0183 0.9817 0.5158  2 Dy 3.25, 3 Y 3.45-3.61
Sm 0.2825 0.7175 0.7978  1 Dy 3.08, 1 Y 3.37
Sm 0.2978 0.7022 0.1950  3 Sm 3.45-3.69, 1 Dy 3.52, 3 Nd 3.52-3.79, 3 Y 3.56-3.82
Sm 0.3950 0.6050 0.5166  5 Sm 3.45-3.78, 4 Y 3.59-3.63
Sm 0.4786 0.5214 0.2324  2 Dy 3.20-3.33, 2 Sm 3.45-3.49, 2 Y 3.54
Sm 0.5214 0.4786 0.7324  2 Dy 3.20-3.33, 2 Sm 3.45-3.49, 2 Y 3.54
Sm 0.6050 0.3950 0.0166  5 Sm 3.45-3.78, 4 Y 3.59-3.63
Sm 0.7022 0.2978 0.6950  3 Sm 3.45-3.69, 1 Dy 3.52, 3 Nd 3.52-3.79, 3 Y 3.56-3.82
Sm 0.7175 0.2825 0.2978  1 Dy 3.08, 1 Y 3.37
Sm 0.9817 0.0183 0.0158  2 Dy 3.25, 3 Y 3.45-3.61
Dy 0.4119 0.5881 0.9479  5 Sm 3.08-3.33
Dy 0.5881 0.4119 0.4479  5 Sm 3.08-3.33
Y 0.1099 0.8901 0.2271  7 Sm 3.45-3.82, 1 Nd 3.49, 2 Dy 3.72
Y 0.1165 0.8835 0.8128  9 Sm 3.37-3.75
Y 0.8835 0.1165 0.3128  9 Sm 3.37-3.75
Y 0.8901 0.1099 0.7271  7 Sm 3.45-3.82, 1 Nd 3.49, 2 Dy 3.72

=====

No. 6
A plane-wave DFT calculation with GGA-PBE was carried out for crystalline ScTlOs2 at its relaxed geometry.

Values from the calculation:
**Density**: 14792 kg/m³
**Total magnetic moment**: 0.00 μB/f.u.
**Formation energy**: 0.381 eV per atom
**E_tot**: -29.6 eV for the cell shown

a b c (Å): 4.9027 4.9027 5.1594
angles (deg): 100.51 100.51 35.51
Last column: nearest neighbours and their distance in Å.
Positions (direct):
Sc 0.0000 0.0000 0.0000  6 Os 2.73-2.87, 4 Tl 2.98, 2 Sc 2.99
Tl 0.5000 0.5000 0.5000  6 Os 2.89-3.01, 4 Sc 2.98, 2 Tl 2.99
Os 0.2623 0.2623 0.7862  4 Os 2.71-2.99, 3 Sc 2.73-2.87, 3 Tl 2.89-3.01
Os 0.7377 0.7377 0.2138  4 Os 2.71-2.99, 3 Sc 2.73-2.87, 3 Tl 2.89-3.01

=====

No. 7
A plane-wave DFT calculation with GGA-PBE was carried out for crystalline FeOsRh2 at its relaxed geometry.

Values from the calculation:
**Density**: 13839 kg/m³
**Total magnetic moment**: 2.08 μB/f.u.
**Formation energy**: 0.051 eV per atom
**E_tot**: -34.2 eV for the cell shown

a b c (Å): 2.7000 2.7000 7.4380
angles (deg): 90.00 90.00 90.00
Last column: nearest neighbours and their distance in Å.
Positions (direct):
Fe 0.0000 0.0000 0.0000  4 Rh 2.60, 4 Os 2.60, 4 Fe 2.70
Os 0.5000 0.5000 0.2373  4 Fe 2.60, 4 Rh 2.69, 4 Os 2.70
Rh 0.0000 0.0000 0.4923  4 Os 2.69, 8 Rh 2.70-2.77
Rh 0.5000 0.5000 0.7627  4 Fe 2.60, 8 Rh 2.70-2.77

=====

No. 8
A plane-wave DFT calculation with GGA-PBE was carried out for crystalline TaMn2As at its relaxed geometry.

Values from the calculation:
**Density**: 10426 kg/m³
**Total magnetic moment**: 4.01 μB/f.u.
**Formation energy**: 0.074 eV per atom
**E_tot**: -34.5 eV for the cell shown

a b c (Å): 2.8367 4.2802 4.8008
angles (deg): 90.00 91.97 90.00
Last column: nearest neighbours and their distance in Å.
Positions (direct):
Ta 0.0000 0.0000 0.0000  4 Mn 2.64, 4 As 2.75-2.83, 2 Ta 2.84
Mn 0.3328 0.5000 0.7523  2 As 2.51, 2 Mn 2.53-2.63, 2 Ta 2.64
Mn 0.6672 0.5000 0.2477  2 As 2.51, 2 Mn 2.53-2.63, 2 Ta 2.64
As 0.5000 0.0000 0.5000  4 Mn 2.51, 2 Ta 2.75

=====

No. 9
A plane-wave DFT calculation with GGA-PBE was carried out for crystalline CaTl2SbW at its relaxed geometry.

Values from the calculation:
**Density**: 7080 kg/m³
**Total magnetic moment**: 2.69 μB/f.u.
**E_tot**: -18.7 eV for the cell shown

a b c (Å): 5.8462 5.8462 5.1773
angles (deg): 90.00 90.00 90.00
Last column: nearest neighbours and their distance in Å.
Positions (direct):
Ca 0.0000 0.0000 0.0000  8 Tl 3.90, 4 W 4.13
Tl 0.0000 0.5000 0.5000  2 Sb 2.92
Tl 0.5000 0.0000 0.5000  2 Sb 2.92
Sb 0.5000 0.5000 0.5000  2 W 2.59
W 0.5000 0.5000 0.0000  2 Sb 2.59

=====

No. 10
A plane-wave DFT calculation with GGA-PBE was carried out for crystalline Y2SiNi at its relaxed geometry.

Values from the calculation:
**Density**: 4660 kg/m³
**Total magnetic moment**: 0.00 μB/f.u.
**E_tot**: -25.3 eV for the cell shown

a b c (Å): 4.0450 4.0450 5.7628
angles (deg): 90.00 90.00 90.00
Last column: nearest neighbours and their distance in Å.
Positions (direct):
Y 0.0000 0.0000 0.0000  4 Si 2.86, 2 Ni 2.87-2.89
Y 0.5000 0.5000 0.4764  4 Ni 2.86, 2 Si 2.88
Si 0.5000 0.5000 0.9769  6 Y 2.86-2.88
Ni 0.0000 0.0000 0.4977  6 Y 2.86-2.89

=====

No. 11
A plane-wave DFT calculation with GGA-PBE was carried out for crystalline CeNpPaRe at its relaxed geometry.

Values from the calculation:
**Density**: 15377 kg/m³
**Total magnetic moment**: 5.79 μB/f.u.
**Formation energy**: 0.263 eV per atom
**E_tot**: -39.8 eV for the cell shown

a b c (Å): 4.9504 4.9504 4.9504
angles (deg): 60.00 60.00 60.00
Last column: nearest neighbours and their distance in Å.
Positions (direct):
Ce 0.0000 0.0000 0.0000  4 Re 3.03, 4 Np 3.03
Np 0.2500 0.2500 0.2500  4 Pa 3.03, 4 Ce 3.03
Pa 0.5000 0.5000 0.5000  4 Re 3.03, 4 Np 3.03
Re 0.7500 0.7500 0.7500  4 Pa 3.03, 4 Ce 3.03

=====

No. 12
A plane-wave DFT calculation with GGA-PBE was carried out for crystalline LiSnC2S at its relaxed geometry.

Values from the calculation:
**Density**: 4467 kg/m³
**Total magnetic moment**: 0.00 μB/f.u.
**E_tot**: -20.4 eV for the cell shown

a b c (Å): 3.9817 3.9817 4.2608
angles (deg): 90.00 90.00 90.00
Last column: nearest neighbours and their distance in Å.
Positions (direct):
Li 0.0000 0.0000 0.0000  2 S 2.13
Sn 0.5000 0.5000 0.0000  4 Li 2.82, 8 C 2.92
C 0.0000 0.5000 0.5000  2 S 1.99
C 0.5000 0.0000 0.5000  2 S 1.99
S 0.0000 0.0000 0.5000  4 C 1.99, 2 Li 2.13

=====

Question: What is the density in the eighth record?
Answer: 10426 kg/m³